Record 1
# Ba2ZnIn6Pb

Ba2ZnIn6Pb after structural relaxation (PBE, the Alexandria database).

abc: 7.318 7.318 14.677
angles: 75.56 75.56 60.00
Element x y z (fractional)
Ba 0.892 0.892 0.323
Ba 0.108 0.108 0.677
Ba 0.724 0.724 0.828
Ba 0.276 0.276 0.172
Zn 0.000 0.000 0.000
Zn 0.500 0.500 0.500
In 0.921 0.331 0.417
In 0.331 0.921 0.417
In 0.331 0.331 0.417
In 0.079 0.669 0.583
In 0.669 0.079 0.583
In 0.669 0.669 0.583
In 0.646 0.219 0.916
In 0.219 0.646 0.916
In 0.219 0.219 0.916
In 0.354 0.781 0.084
In 0.781 0.354 0.084
In 0.781 0.781 0.084
Pb 0.575 0.575 0.274
Pb 0.425 0.425 0.726

Values from the calculation:
As for the formation energy: -1.90 eV/f.u. The value obtained for the raw total energy is -54.3 eV/cell.

Record 2
# Ba2ZnIn4Pb3

Ba2ZnIn4Pb3 after structural relaxation (PBE, the Alexandria database).

abc: 5.002 5.002 13.151
angles: 90.00 90.00 90.00
Element x y z (fractional)
Ba 0.500 0.000 0.261
Ba 0.000 0.500 0.739
Zn 0.500 0.500 0.500
In 0.500 0.500 0.000
In 0.000 0.000 0.000
In 0.500 0.000 0.622
In 0.000 0.500 0.378
Pb 0.000 0.000 0.500
Pb 0.500 0.000 0.855
Pb 0.000 0.500 0.145

Values from the calculation:
As for the formation energy: -2.37 eV/f.u. The value obtained for the raw total energy is -29.6 eV/cell.

Record 3
# Ba3InPd2

Ba3InPd2 after structural relaxation (PBE, the Alexandria database).

abc: 9.026 9.555 10.336
angles: 90.00 103.95 90.00
Element x y z (fractional)
Ba 0.321 0.967 0.076
Ba 0.179 0.467 0.424
Ba 0.679 0.033 0.924
Ba 0.821 0.533 0.576
Ba 0.346 0.532 0.094
Ba 0.154 0.032 0.406
Ba 0.654 0.468 0.906
Ba 0.846 0.968 0.594
Ba 0.926 0.733 0.146
Ba 0.574 0.233 0.354
Ba 0.074 0.267 0.854
Ba 0.426 0.767 0.646
In 0.615 0.763 0.308
In 0.885 0.263 0.192
In 0.385 0.237 0.692
In 0.115 0.737 0.808
Pd 0.767 0.002 0.252
Pd 0.733 0.502 0.248
Pd 0.233 0.998 0.748
Pd 0.267 0.498 0.752
Pd 0.308 0.754 0.315
Pd 0.192 0.254 0.185
Pd 0.692 0.246 0.685
Pd 0.808 0.746 0.815

Values from the calculation:
As for the formation energy: -2.73 eV/f.u. The value obtained for the raw total energy is -86.5 eV/cell.

Record 4
# Ba3InPd3

Ba3InPd3 after structural relaxation (PBE, the Alexandria database).

abc: 6.413 9.609 9.609
angles: 120.00 90.00 90.00
Element x y z (fractional)
Ba 0.750 0.698 0.639
Ba 0.750 0.361 0.059
Ba 0.750 0.941 0.302
Ba 0.250 0.302 0.361
Ba 0.250 0.639 0.941
Ba 0.250 0.059 0.698
In 0.250 0.667 0.333
In 0.750 0.333 0.667
Pd 0.250 0.686 0.621
Pd 0.250 0.379 0.065
Pd 0.250 0.935 0.314
Pd 0.750 0.314 0.379
Pd 0.750 0.621 0.935
Pd 0.750 0.065 0.686

Values from the calculation:
As for the formation energy: -2.97 eV/f.u. As for the offset from the most stable computed form: 81 kJ/mol of formula units. The value obtained for the raw total energy is -54.1 eV/cell.